YInFe | the Alexandria database | PBEsol | optimized geometry; theoretical density = 7.22 g cm⁻³; DFT total energy = -6.282 eV/atom; energy of formation from the pure elements = -0.08 eV per formula unit
1.0
-1.674 1.674 5.327
1.674 -1.674 5.327
1.674 1.674 -5.327
Y In Fe
1 1 1
Cartesian
0.000 0.000 0.000
0.000 0.000 3.092
0.000 0.000 7.063